No. 1
Computed, not measured: a relaxed structure of Na2LaSnF at the PBE level of DFT.

a b c (Å): 4.7563 4.7563 5.2550
angles (deg): 90.00 90.00 90.00
Closest atoms and distances in Å follow each position.
Space group P4/mmm (No. 123)
One atom of each set of equivalent atoms:
Na 0.0000 0.5000 0.0000 [2 per cell]  2 F 2.38
La 0.0000 0.0000 0.5000 [1 per cell]  2 F 2.63
Sn 0.5000 0.5000 0.5000 [1 per cell]  4 La 3.36, 8 Na 3.54
F 0.0000 0.0000 0.0000 [1 per cell]  4 Na 2.38, 2 La 2.63

***

No. 2
Computed, not measured: a relaxed structure of Na2LaTlF8 at the PBE level of DFT.

a b c (Å): 3.9482 5.6234 7.8743
angles (deg): 90.00 90.00 90.00
Closest atoms and distances in Å follow each position.
Space group Pmmm (No. 47)
One atom of each set of equivalent atoms:
Na 0.0000 0.0000 0.2363 [2 per cell]  8 F 2.40-2.53
La 0.5000 0.5000 0.5000 [1 per cell]  8 F 2.41-2.45
Tl 0.5000 0.5000 0.0000 [1 per cell]  8 F 2.30-2.36
F 0.0000 0.2554 0.5000 [2 per cell]  2 La 2.41, 2 Na 2.53
F 0.0000 0.2707 0.0000 [2 per cell]  2 Tl 2.36, 2 Na 2.40, 1 F 2.58
F 0.5000 0.2640 0.2388 [4 per cell]  1 Tl 2.30, 1 La 2.45, 2 Na 2.47

***

No. 3
Computed, not measured: a relaxed structure of NaLa2TlF at the PBE level of DFT.

a b c (Å): 5.2178 5.2178 4.7372
angles (deg): 90.00 90.00 90.00
Closest atoms and distances in Å follow each position.
Space group P4/mmm (No. 123)
One atom of each set of equivalent atoms:
Na 0.0000 0.0000 0.0000 [1 per cell]  2 F 2.37
La 0.0000 0.5000 0.5000 [2 per cell]  2 F 2.61
Tl 0.5000 0.5000 0.0000 [1 per cell]  8 La 3.52, 4 Na 3.69
F 0.0000 0.0000 0.5000 [1 per cell]  2 Na 2.37, 4 La 2.61

***

Number 1: raw total energy -0.2958 Ry per atom, raw formation energy -1.337 eV/atom. Number 2: raw total energy -0.3682 Ry per atom, raw formation energy -2.935 eV/atom. Number 3: raw total energy -0.3117 Ry per atom, raw formation energy -1.159 eV/atom.